(a)
This record from Alexandria describes a relaxed structure of Rb2LiPdI6. The functional is PBE-GGA.

a = 7.996 Å, b = 7.996 Å, c = 14.750 Å
α = 74.27°, β = 74.27°, γ = 60.00°
Atoms (fractional coordinates):
Rb (0.881, 0.881, 0.358)
Rb (0.119, 0.119, 0.642)
Rb (0.700, 0.700, 0.900)
Rb (0.300, 0.300, 0.100)
Li (0.578, 0.578, 0.267)
Li (0.422, 0.422, 0.733)
Pd (0.000, 0.000, 0.000)
Pd (0.500, 0.500, 0.500)
I (0.868, 0.373, 0.386)
I (0.373, 0.868, 0.386)
I (0.373, 0.373, 0.386)
I (0.132, 0.627, 0.614)
I (0.627, 0.132, 0.614)
I (0.627, 0.627, 0.614)
I (0.711, 0.202, 0.884)
I (0.202, 0.711, 0.884)
I (0.202, 0.202, 0.884)
I (0.289, 0.798, 0.116)
I (0.798, 0.289, 0.116)
I (0.798, 0.798, 0.116)

As for the space-group type: No. 166. Its crystal system is trigonal.

***

(b)
This record from Alexandria describes a relaxed structure of Rb2LiPdI6. The functional is PBE-GGA.

a = 8.142 Å, b = 8.142 Å, c = 8.131 Å
α = 59.96°, β = 59.96°, γ = 90.00°
Atoms (fractional coordinates):
I (0.242, 0.242, 0.516)
I (0.758, 0.758, 0.484)
I (0.242, 0.242, 0.000)
I (0.758, 0.758, 0.000)
I (0.758, 0.242, 0.000)
I (0.242, 0.758, 0.000)
Rb (0.750, 0.250, 0.500)
Rb (0.250, 0.750, 0.500)
Pd (0.000, 0.000, 0.000)
Li (0.500, 0.500, 0.000)

As for the space-group type: No. 139. Its crystal system is tetragonal.

***

Stability summary: most stable (a), least stable (b).

***

(a)
This record from Alexandria describes a relaxed structure of LiTe2PdI. The functional is PBE-GGA.

a = 5.042 Å, b = 5.042 Å, c = 5.335 Å
α = 90.00°, β = 90.00°, γ = 90.00°
Atoms (fractional coordinates):
I (0.000, 0.000, 0.500)
Te (0.000, 0.500, 0.000)
Te (0.500, 0.000, 0.000)
Pd (0.500, 0.500, 0.500)
Li (0.000, 0.000, 0.000)

As for the space-group type: No. 123. Its crystal system is tetragonal.

***

(b)
This record from Alexandria describes a relaxed structure of LiTe2PdI. The functional is PBE-GGA.

a = 5.319 Å, b = 5.319 Å, c = 5.711 Å
α = 90.00°, β = 90.00°, γ = 90.00°
Atoms (fractional coordinates):
I (0.000, 0.000, 0.500)
Te (0.000, 0.500, 0.000)
Te (0.500, 0.000, 0.000)
Pd (0.000, 0.000, 0.000)
Li (0.500, 0.500, 0.500)

As for the space-group type: No. 123. Its crystal system is tetragonal.

***

Stability summary: most stable (b), least stable (a).

***

(a)
This record from Alexandria describes a relaxed structure of Li3PmI6. The functional is PBE-GGA.

a = 4.834 Å, b = 9.079 Å, c = 9.079 Å
α = 112.43°, β = 90.00°, γ = 90.00°
Atoms (fractional coordinates):
Li (0.500, 0.500, 0.000)
Li (0.000, 0.000, 0.000)
Li (0.500, 0.000, 0.500)
Pm (0.000, 0.500, 0.500)
I (0.000, 0.081, 0.330)
I (0.000, 0.919, 0.670)
I (0.000, 0.330, 0.081)
I (0.000, 0.670, 0.919)
I (0.500, 0.639, 0.361)
I (0.500, 0.361, 0.639)

As for the space-group type: No. 65. Its crystal system is orthorhombic.

***

(b)
This record from Alexandria describes a relaxed structure of Li3PmI6. The functional is PBE-GGA.

a = 8.567 Å, b = 8.681 Å, c = 8.683 Å
α = 60.34°, β = 59.83°, γ = 59.82°
Atoms (fractional coordinates):
Li (0.500, 0.500, 0.000)
Li (0.500, 0.000, 0.500)
Li (0.500, 0.500, 0.500)
Pm (0.000, 0.000, 0.000)
I (0.723, 0.771, 0.272)
I (0.277, 0.229, 0.728)
I (0.727, 0.276, 0.767)
I (0.273, 0.724, 0.233)
I (0.255, 0.746, 0.746)
I (0.745, 0.254, 0.254)

As for the space-group type: No. 2. Its crystal system is triclinic.

***

Stability summary: most stable (b), least stable (a).

***

(a)
This record from Alexandria describes a relaxed structure of LiPm2I6. The functional is PBE-GGA.

a = 4.229 Å, b = 9.527 Å, c = 10.451 Å
α = 107.29°, β = 101.67°, γ = 90.00°
Atoms (fractional coordinates):
Li (0.500, 0.000, 0.000)
Pm (0.839, 0.682, 0.677)
Pm (0.161, 0.318, 0.323)
I (0.336, 0.921, 0.671)
I (0.006, 0.225, 0.012)
I (0.673, 0.576, 0.345)
I (0.994, 0.775, 0.988)
I (0.664, 0.079, 0.329)
I (0.327, 0.424, 0.655)

As for the space-group type: No. 12. Its crystal system is monoclinic.

***

(b)
This record from Alexandria describes a relaxed structure of LiPm2I6. The functional is PBE-GGA.

a = 7.467 Å, b = 7.467 Å, c = 13.193 Å
α = 90.00°, β = 90.00°, γ = 90.00°
Atoms (fractional coordinates):
Li (0.500, 0.500, 0.000)
Li (0.000, 0.000, 0.500)
Pm (0.500, 0.500, 0.348)
Pm (0.500, 0.500, 0.652)
Pm (0.000, 0.000, 0.152)
Pm (0.000, 0.000, 0.848)
I (0.699, 0.699, 0.165)
I (0.699, 0.699, 0.835)
I (0.722, 0.722, 0.500)
I (0.778, 0.222, 0.000)
I (0.801, 0.199, 0.335)
I (0.801, 0.199, 0.665)
I (0.199, 0.801, 0.335)
I (0.199, 0.801, 0.665)
I (0.222, 0.778, 0.000)
I (0.278, 0.278, 0.500)
I (0.301, 0.301, 0.165)
I (0.301, 0.301, 0.835)

As for the space-group type: No. 136. Its crystal system is tetragonal.

***

Stability summary: most stable (a), least stable (b).